## w
# BaAc4Nd

A geometry-optimized BaAc4Nd structure (PBE, the Alexandria database).

Values from the calculation:
- Magnetization: 0.00 μB/cell
- Density of states at the Fermi level: 8.69 states/eV/cell

Cell: 7.402 7.402 7.402 Å, 60.00 60.00 60.00°
Sites, in units of the cell vectors:
Ac 0.627 0.627 0.119
Nd 0.000 0.000 0.000
Ba 0.250 0.250 0.250
Ac 0.627 0.119 0.627
Ac 0.119 0.627 0.627
Ac 0.627 0.627 0.627



## x
# BaAc4Nd

A geometry-optimized BaAc4Nd structure (PBE, the Alexandria database).

Values from the calculation:
- Magnetization: 0.00 μB/cell
- Density of states at the Fermi level: 10.33 states/eV/cell

Cell: 3.996 3.996 17.028 Å, 90.00 90.00 90.00°
Sites, in units of the cell vectors:
Ac 0.500 0.500 0.811
Ac 0.000 0.000 0.651
Ac 0.000 0.000 0.349
Nd 0.500 0.500 0.500
Ba 0.000 0.000 0.000
Ac 0.500 0.500 0.189



Verdict on stability: w comes out at the bottom.



## w
# BaAc2Ni

A geometry-optimized BaAc2Ni structure (PBE, the Alexandria database).

Values from the calculation:
- Magnetization: 0.00 μB/cell
- Density of states at the Fermi level: 5.37 states/eV/cell

Cell: 3.818 3.818 10.442 Å, 90.00 90.00 90.00°
Sites, in units of the cell vectors:
Ni 0.500 0.500 0.000
Ac 0.000 0.000 0.164
Ba 0.500 0.500 0.500
Ac 0.000 0.000 0.836



## x
# BaAc2Ni

A geometry-optimized BaAc2Ni structure (PBE, the Alexandria database).

Values from the calculation:
- Magnetization: 0.00 μB/cell
- Density of states at the Fermi level: 4.36 states/eV/cell

Cell: 4.304 4.304 10.754 Å, 78.46 78.46 60.00°
Sites, in units of the cell vectors:
Ba 0.500 0.500 0.500
Ac 0.717 0.717 0.848
Ac 0.283 0.283 0.152
Ni 0.000 0.000 0.000



Verdict on stability: w comes out at the bottom.



## w
# BaAcNi

A geometry-optimized BaAcNi structure (PBE, the Alexandria database).

Values from the calculation:
- Magnetization: 0.00 μB/cell
- Density of states at the Fermi level: 2.58 states/eV/cell

Cell: 3.810 3.810 7.687 Å, 104.35 104.35 90.00°
Sites, in units of the cell vectors:
Ba 0.034 0.034 0.068
Ac 0.282 0.282 0.565
Ni 0.684 0.684 0.367



## x
# BaAcNi

A geometry-optimized BaAcNi structure (PBE, the Alexandria database).

Values from the calculation:
- Magnetization: 0.00 μB/cell
- Density of states at the Fermi level: 7.67 states/eV/cell

Cell: 4.019 4.188 14.222 Å, 90.00 98.12 90.00°
Sites, in units of the cell vectors:
Ni 0.523 0.250 0.045
Ac 0.941 0.250 0.881
Ba 0.811 0.750 0.622
Ac 0.059 0.750 0.119
Ni 0.477 0.750 0.955
Ba 0.189 0.250 0.378



Verdict on stability: w comes out at the bottom.



## w
# BaAcNi

A geometry-optimized BaAcNi structure (PBE, the Alexandria database).

Values from the calculation:
- Magnetization: 0.00 μB/cell
- Density of states at the Fermi level: 7.12 states/eV/cell

Cell: 4.193 4.130 13.225 Å, 98.98 90.00 90.00°
Sites, in units of the cell vectors:
Ac 0.750 0.937 0.875
Ni 0.250 0.475 0.950
Ni 0.750 0.525 0.050
Ac 0.250 0.063 0.125
Ba 0.250 0.315 0.631
Ba 0.750 0.685 0.369



## x
# BaAcNi

A geometry-optimized BaAcNi structure (PBE, the Alexandria database).

Values from the calculation:
- Magnetization: 0.00 μB/cell
- Density of states at the Fermi level: 2.28 states/eV/cell

Cell: 7.259 4.384 4.384 Å, 120.00 90.00 90.00°
Sites, in units of the cell vectors:
Ni 0.021 0.000 0.000
Ac 0.216 0.333 0.667
Ba 0.762 0.667 0.333



Verdict on stability: x comes out at the bottom.



## w
# Ba2AcNi

A geometry-optimized Ba2AcNi structure (PBE, the Alexandria database).

Values from the calculation:
- Magnetization: 0.00 μB/cell
- Density of states at the Fermi level: 9.40 states/eV/cell

Cell: 4.291 4.290 19.550 Å, 90.00 90.01 90.00°
Sites, in units of the cell vectors:
Ba 0.250 0.338 0.913
Ac 0.750 0.835 0.428
Ba 0.249 0.337 0.264
Ni 0.250 0.335 0.421
Ac 0.250 0.335 0.572
Ba 0.751 0.837 0.736
Ni 0.750 0.835 0.579
Ba 0.750 0.838 0.087



## x
# Ba2AcNi

A geometry-optimized Ba2AcNi structure (PBE, the Alexandria database).

Values from the calculation:
- Magnetization: 0.00 μB/cell
- Density of states at the Fermi level: 3.63 states/eV/cell

Cell: 4.159 4.159 11.977 Å, 80.00 80.00 60.00°
Sites, in units of the cell vectors:
Ac 0.000 0.000 0.000
Ni 0.500 0.500 0.500
Ba 0.114 0.114 0.658
Ba 0.886 0.886 0.342



Verdict on stability: x comes out at the bottom.



## w
# Ba2AcO3

A geometry-optimized Ba2AcO3 structure (PBE, the Alexandria database).

Values from the calculation:
- Magnetization: 0.00 μB/cell
- Density of states at the Fermi level: 4.79 states/eV/cell

Cell: 6.774 6.774 12.328 Å, 100.57 100.57 109.40°
Sites, in units of the cell vectors:
O 0.090 0.060 0.678
O 0.782 0.782 0.000
O 0.662 0.132 0.822
Ba 0.998 0.498 0.996
Ba 0.832 0.332 0.663
O 0.940 0.910 0.322
Ac 0.084 0.084 0.167
Ba 0.582 0.582 0.163
Ba 0.748 0.748 0.496
Ba 0.502 0.002 0.004
O 0.032 0.532 0.500
O 0.382 0.412 0.322
Ac 0.166 0.666 0.333
Ac 0.916 0.916 0.833
O 0.468 0.968 0.500
O 0.588 0.618 0.678
Ac 0.334 0.834 0.667
Ba 0.418 0.418 0.837
O 0.160 0.690 0.822
O 0.218 0.218 0.000
O 0.868 0.338 0.178
O 0.310 0.840 0.178
Ba 0.252 0.252 0.504
Ba 0.668 0.168 0.337



## x
# Ba2AcO3

A geometry-optimized Ba2AcO3 structure (PBE, the Alexandria database).

Values from the calculation:
- Magnetization: 0.00 μB/cell
- Density of states at the Fermi level: 2.52 states/eV/cell

Cell: 5.489 7.785 6.793 Å, 106.60 113.83 90.00°
Sites, in units of the cell vectors:
O 0.857 0.929 0.714
Ac 0.000 0.750 0.000
O 0.857 0.429 0.714
Ba 0.332 0.916 0.663
O 0.143 0.571 0.286
Ac 0.000 0.250 0.000
O 0.500 0.250 0.000
Ba 0.332 0.416 0.663
Ba 0.668 0.084 0.337
O 0.143 0.071 0.286
Ba 0.668 0.584 0.337
O 0.500 0.750 0.000



Verdict on stability: x comes out at the bottom.